The following is a PBE-GGA calculation of an optimized crystal structure of Hf2TiCrMo, from Alexandria.

a b c (Å): 4.9572 4.9572 3.9642
angles (deg): 90.00 90.00 90.00
Element x y z (fractional)
1 Hf 0.0000 0.5000 0.0000
2 Hf 0.5000 0.0000 0.0000
3 Ti 0.0000 0.0000 0.0000
4 Cr 0.0000 0.0000 0.5000
5 Mo 0.5000 0.5000 0.5000

Values from the calculation:
- Calculated volume: 97 Å³ per cell
- ΔH_f (0 K): 1.20 eV per atom


The following is a PBE-GGA calculation of an optimized crystal structure of BaTaZn2Br, from Alexandria.

a b c (Å): 5.2124 5.2124 5.0501
angles (deg): 90.00 90.00 90.00
Element x y z (fractional)
1 Ba 0.0000 0.0000 0.0000
2 Ta 0.5000 0.5000 0.5000
3 Zn 0.0000 0.5000 0.5000
4 Zn 0.5000 0.0000 0.5000
5 Br 0.5000 0.5000 0.0000

Values from the calculation:
- Calculated volume: 137 Å³ per cell
- Energy relative to the elements, uncorrected: 0.058 eV/atom


The following is a PBE-GGA calculation of an optimized crystal structure of La3Os5, from Alexandria.

a b c (Å): 9.0482 9.0482 8.3130
angles (deg): 94.31 94.31 146.82
Element x y z (fractional)
1 La 0.0000 0.0000 0.0000
2 La 0.0926 0.4988 0.5943
3 La 0.1104 0.4792 0.0944
4 La 0.4792 0.1104 0.0944
5 La 0.4988 0.0926 0.5943
6 La 0.5913 0.5913 0.1883
7 Os 0.0518 0.0518 0.6219
8 Os 0.0864 0.2440 0.3576
9 Os 0.2440 0.0864 0.3576
10 Os 0.3472 0.5048 0.8308
11 Os 0.5048 0.3472 0.8308
12 Os 0.5395 0.5395 0.5664
13 Os 0.6154 0.8504 0.4321
14 Os 0.7409 0.9757 0.7562
15 Os 0.8504 0.6154 0.4321
16 Os 0.9757 0.7409 0.7562

Values from the calculation:
- Polymorph energy (0 for the lowest one): 0.0000 eV per atom
- Calculated volume: 359 Å³ per cell
- ΔH_f (0 K): 0.32 eV per atom